Entry 1:
Computed, not measured: crystalline CrSiIr2 at its relaxed geometry at the GGA-PBEsol level of DFT.

Geometry as extended XYZ:
```
4
Lattice="3.6931 0.0000 0.0000 0.0000 3.6931 0.0000 -1.8465 -1.8465 3.8285" Properties=species:S:1:pos:R:3 pbc="T T T"
Cr 0.0000 1.8465 1.9142
Ir 0.0000 0.0000 0.0000
Ir 1.8465 0.0000 1.9142
Si 1.8465 1.8465 0.0000
```

Entry 2:
Computed, not measured: crystalline Cr2SiIr at its relaxed geometry at the GGA-PBEsol level of DFT.

Geometry as extended XYZ:
```
4
Lattice="2.7780 0.0000 0.0000 -1.3890 4.1945 -0.0034 0.0000 -1.3611 4.2170" Properties=species:S:1:pos:R:3 pbc="T T T"
Cr 0.0000 0.0304 0.2256
Cr 1.3890 1.6849 0.7551
Ir 1.3890 -0.7156 2.3130
Si 0.0000 1.1531 3.0284
```

Entry 3:
Computed, not measured: crystalline CrSiIr2 at its relaxed geometry at the GGA-PBEsol level of DFT.

Geometry as extended XYZ:
```
4
Lattice="2.7664 0.0000 0.0000 0.0000 4.3981 -0.0207 0.0000 -0.9324 4.2982" Properties=species:S:1:pos:R:3 pbc="T T T"
Cr 1.3832 1.7329 2.1388
Ir 0.0000 2.1991 -0.0103
Ir 0.0000 -0.4662 2.1491
Si 1.3832 0.0000 0.0000
```

Entry 4:
Computed, not measured: crystalline CrSnIr3 at its relaxed geometry at the GGA-PBEsol level of DFT.

For the calculated formation energy, the calculation gives 1169 meV/atom.

Geometry as extended XYZ:
```
5
Lattice="-2.1657 3.8372 0.8210 -3.3537 -2.2968 1.8884 2.0375 0.2981 3.9810" Properties=species:S:1:pos:R:3 pbc="T T T"
Cr 0.0000 0.0000 0.0000
Ir -1.6768 -1.1484 0.9442
Ir 1.0187 0.1491 1.9905
Ir -1.0828 1.9186 0.4105
Sn -1.7409 0.9193 3.3452
```

Entry 5:
Computed, not measured: crystalline Cr3SnIr at its relaxed geometry at the GGA-PBEsol level of DFT.

For the calculated formation energy, the calculation gives 2198 meV/atom.

Geometry as extended XYZ:
```
5
Lattice="-2.1009 3.1519 -2.9808 -3.5049 0.7184 3.2300 2.5564 3.5753 1.9788" Properties=species:S:1:pos:R:3 pbc="T T T"
Cr -1.7525 0.3592 1.6150
Cr 1.2782 1.7876 0.9894
Cr -1.0504 1.5760 -1.4904
Ir -1.5247 3.7228 1.1140
Sn 0.0000 0.0000 0.0000
```

Entry 6:
Computed, not measured: crystalline Sr3CrIr at its relaxed geometry at the GGA-PBEsol level of DFT.

For the calculated formation energy, the calculation gives 484 meV/atom.

Geometry as extended XYZ:
```
5
Lattice="5.7127 0.0000 0.0000 0.0000 5.7127 0.0000 0.0000 0.0000 5.7127" Properties=species:S:1:pos:R:3 pbc="T T T"
Sr 0.0000 2.8564 0.0000
Sr 0.0000 0.0000 2.8564
Sr 2.8564 0.0000 0.0000
Ir 0.0000 0.0000 0.0000
Cr 2.8564 2.8564 2.8564
```

Entry 7:
Computed, not measured: crystalline TaCr2Ir at its relaxed geometry at the GGA-PBEsol level of DFT.

For the calculated formation energy, the calculation gives 63 meV/atom.

Geometry as extended XYZ:
```
4
Lattice="3.0080 0.0000 0.0000 0.0000 3.0080 0.0000 0.0000 0.0000 6.0131" Properties=species:S:1:pos:R:3 pbc="T T T"
Cr 0.0000 0.0000 4.4972
Cr 0.0000 0.0000 1.5159
Ir 1.5040 1.5040 0.0000
Ta 1.5040 1.5040 3.0066
```

Entry 8:
Computed, not measured: crystalline TaCr4Ir at its relaxed geometry at the GGA-PBEsol level of DFT.

For the calculated formation energy, the calculation gives -102 meV/atom.

Geometry as extended XYZ:
```
6
Lattice="-1.0446 4.5116 1.0725 -3.0006 0.9635 3.5587 1.6311 1.9240 4.0291" Properties=species:S:1:pos:R:3 pbc="T T T"
Cr -0.8998 2.7578 3.2279
Cr -0.0694 3.7374 5.2792
Cr -1.4316 5.0547 3.7739
Cr -2.4274 3.2483 5.0397
Ir -1.8106 5.5493 6.4952
Ta 0.0000 0.0000 0.0000
```

Entry 9:
Computed, not measured: crystalline TaCr2Ir at its relaxed geometry at the GGA-PBEsol level of DFT.

For the calculated formation energy, the calculation gives -3 meV/atom.

Geometry as extended XYZ:
```
4
Lattice="3.1887 0.0000 0.0000 0.0000 4.1435 0.0000 -1.5944 -2.0717 4.1593" Properties=species:S:1:pos:R:3 pbc="T T T"
Cr 1.5944 2.0717 2.0234
Cr 0.0000 0.0000 2.1358
Ir 1.5944 0.0000 0.0000
Ta 0.0000 2.0717 0.0000
```

Entry 10:
Computed, not measured: crystalline TaCrIr at its relaxed geometry at the GGA-PBEsol level of DFT.

For the calculated formation energy, the calculation gives -106 meV/atom.

Geometry as extended XYZ:
```
3
Lattice="-2.0990 0.2487 -1.7825 -2.3811 -0.6201 2.7174 2.0587 4.3835 0.3316" Properties=species:S:1:pos:R:3 pbc="T T T"
Cr -0.0033 0.0755 0.0144
Ir -2.2964 1.1196 0.7159
Ta -0.1217 2.8169 0.5362
```

Entry 11:
Computed, not measured: crystalline Ta4CrIr at its relaxed geometry at the GGA-PBEsol level of DFT.

For the calculated formation energy, the calculation gives 453 meV/atom.

Geometry as extended XYZ:
```
6
Lattice="-0.8275 -0.9621 5.1075 3.9062 -1.8657 2.9928 2.2175 3.0752 3.6499" Properties=species:S:1:pos:R:3 pbc="T T T"
Cr 3.9722 0.1856 8.8127
Ir 0.0000 0.0000 0.0000
Ta 1.9874 0.0929 4.4092
Ta 3.0939 1.6275 6.2306
Ta 1.5744 -0.3872 6.9579
Ta 3.9367 -0.8381 5.9027
```

Entry 12:
Computed, not measured: crystalline TaCrIr4 at its relaxed geometry at the GGA-PBEsol level of DFT.

For the calculated formation energy, the calculation gives 86 meV/atom.

Geometry as extended XYZ:
```
6
Lattice="5.0892 0.0000 0.0000 2.5446 4.4074 0.0000 2.5446 1.4691 4.1553" Properties=species:S:1:pos:R:3 pbc="T T T"
Cr 0.0000 0.0000 0.0000
Ir 3.8117 2.2007 1.5561
Ir 5.0892 2.9383 3.6422
Ir 6.3667 2.2007 1.5561
Ir 5.0892 4.4133 1.5561
Ta 7.6338 4.4074 3.1165
```

no.,magnetic moment (μB/atom),E (eV per formula unit)
1,0.404,-36.68
2,0.000,-37.10
3,0.583,-36.92
4,0.000,-38.13
5,2.191,-33.82
6,1.060,-23.17
7,0.204,-42.61
8,0.000,-63.95
9,0.000,-42.87
10,0.161,-32.93
11,0.501,-67.55
12,0.670,-61.57